Computed, not measured: a geometry-optimized Tm2MnGeO6 structure at the PBE+U level of DFT.

a = 5.6810 Å, b = 5.6810 Å, c = 5.6810 Å
α = 57.40°, β = 57.40°, γ = 57.40°
Fractional coordinates of all 10 atoms:
Tm1 0.0000 0.0000 0.0000
Tm2 0.4964 0.4964 0.4964
Mn1 0.2743 0.2743 0.2743
Ge1 0.7865 0.7865 0.7865
O1 0.0457 0.4422 0.6719
O2 0.1440 0.9004 0.5895
O3 0.4422 0.6719 0.0457
O4 0.5895 0.1440 0.9004
O5 0.6719 0.0457 0.4422
O6 0.9004 0.5895 0.1440

Computed properties:
V (Å³/atom): 12.2
Crystal system: trigonal
D(E_F) (states/eV per atom): 0.0000
E (eV per atom): -7.7135
Total magnetic moment (μB/cell): 5.00